Ni3Pt | GGA-PBEsol | optimized geometry

Output
* total DFT energy (no corrections): -6.396 eV/atom
* calculated volume: 11.65 Å³ per atom
* formation enthalpy at 0 K: -37 meV per atom

Lattice parameters (Å, degrees): 4.1582 5.0958 4.3977 90.00 90.00 90.00
Last column: nearest neighbours and their distance in Å.
Atoms (fractional coordinates):
Ni  0.2500  0.0005  0.1635  8 Ni 2.49-2.59, 4 Pt 2.54-2.55
Ni  0.2500  0.2500  0.6778  8 Ni 2.49-2.59, 4 Pt 2.55-2.57
Ni  0.2500  0.4995  0.1635  8 Ni 2.49-2.59, 4 Pt 2.54-2.55
Ni  0.7500  0.9995  0.8365  8 Ni 2.49-2.59, 4 Pt 2.54-2.55
Ni  0.7500  0.5005  0.8365  8 Ni 2.49-2.59, 4 Pt 2.54-2.55
Ni  0.7500  0.7500  0.3222  8 Ni 2.49-2.59, 4 Pt 2.55-2.57
Pt  0.2500  0.7500  0.6643  12 Ni 2.54-2.57
Pt  0.7500  0.2500  0.3357  12 Ni 2.54-2.57

=====

Ni5Pt4 | GGA-PBEsol | optimized geometry

Output
* total DFT energy (no corrections): -6.573 eV/atom
* calculated volume: 12.57 Å³ per atom
* formation enthalpy at 0 K: -57 meV per atom

Lattice parameters (Å, degrees): 5.8239 5.8239 5.8239 95.83 95.83 142.82
Last column: nearest neighbours and their distance in Å.
Atoms (fractional coordinates):
Ni  0.0000  0.0000  0.0000  4 Pt 2.50, 8 Ni 2.58
Ni  0.3377  0.3377  0.6753  6 Ni 2.53-2.68, 6 Pt 2.56-2.64
Ni  0.3377  0.6623  0.0000  6 Ni 2.53-2.68, 6 Pt 2.56-2.64
Ni  0.6623  0.3377  0.0000  6 Ni 2.53-2.68, 6 Pt 2.56-2.64
Ni  0.6623  0.6623  0.3247  6 Ni 2.53-2.68, 6 Pt 2.56-2.64
Pt  0.0000  0.3204  0.3204  7 Ni 2.50-2.64, 4 Pt 2.72
Pt  0.0000  0.6796  0.6796  7 Ni 2.50-2.64, 4 Pt 2.72
Pt  0.3204  0.0000  0.3204  7 Ni 2.50-2.64, 4 Pt 2.72
Pt  0.6796  0.0000  0.6796  7 Ni 2.50-2.64, 4 Pt 2.72

=====

NiPt2 | GGA-PBEsol | optimized geometry

Output
* total DFT energy (no corrections): -6.712 eV/atom
* calculated volume: 13.64 Å³ per atom
* formation enthalpy at 0 K: -17 meV per atom

Lattice parameters (Å, degrees): 7.4433 2.7110 8.1117 90.00 90.04 90.00
Last column: nearest neighbours and their distance in Å.
Atoms (fractional coordinates):
Ni  0.1100  0.2500  0.0786  7 Ni 2.48-2.71, 5 Pt 2.62-2.72
Ni  0.1172  0.2500  0.7621  5 Ni 2.52-2.71, 6 Pt 2.56-2.68
Ni  0.8828  0.7500  0.2379  5 Ni 2.52-2.71, 6 Pt 2.56-2.68
Ni  0.8900  0.7500  0.9214  7 Ni 2.48-2.71, 5 Pt 2.62-2.72
Pt  0.1121  0.2500  0.4034  3 Ni 2.56-2.63, 8 Pt 2.66-2.74
Pt  0.3556  0.7500  0.9182  4 Ni 2.57-2.62, 8 Pt 2.64-2.87
Pt  0.3621  0.7500  0.5865  2 Ni 2.68, 10 Pt 2.69-2.83
Pt  0.3704  0.7500  0.2431  10 Pt 2.64-2.79, 2 Ni 2.72
Pt  0.6296  0.2500  0.7569  10 Pt 2.64-2.79, 2 Ni 2.72
Pt  0.6379  0.2500  0.4135  2 Ni 2.68, 10 Pt 2.69-2.83
Pt  0.6444  0.2500  0.0818  4 Ni 2.57-2.62, 8 Pt 2.64-2.87
Pt  0.8879  0.7500  0.5966  3 Ni 2.56-2.63, 8 Pt 2.66-2.74